Density functional theory data (GGA-PBE) for AcPaIr2 after structural relaxation.

Results
Crystal system   tetragonal
ΔE to the lowest computed polymorph   0.138 eV/atom
Spin magnetization   0.0 μB per formula unit
E_tot   -0.6243 Ry per atom
Density   14.9 Mg/m³
Energy relative to the elements   -662 meV/atom
Space-group type   No. 123

a b c (Å): 3.5474 3.5474 7.4686
angles (deg): 90.00 90.00 90.00
Last column: nearest neighbours and their distance in Å.
Fractional coordinates of all 4 atoms:
Ac1 0.5000 0.5000 0.5000  8 Ir 3.38, 4 Ac 3.55, 2 Pa 3.73
Pa1 0.5000 0.5000 0.0000  8 Ir 2.91
Ir1 0.0000 0.0000 0.8031  4 Pa 2.91, 1 Ir 2.94
Ir2 0.0000 0.0000 0.1969  4 Pa 2.91, 1 Ir 2.94